No. 1
First-principles (SCAN) data for a crystal of Li5In4 relaxed with PBEsol, as listed in Alexandria via LeMat-Bulk.

- excess energy over the best structure of this formula in the dataset (eV per atom) = 0.119
- symmetry = P6_3/mcm (193)
- DOS(E_F) (states/eV/cell) = 6.805

Structure (extended XYZ):
```
18
Lattice="-0.566 3.861 4.340 -7.290 -3.364 2.042 6.981 -2.841 3.439" Properties=species:S:1:pos:R:3 pbc="T T T"
Li 1.941 -1.085 5.143
Li -0.637 -1.368 7.020
Li -2.816 -1.259 4.677
Li -0.238 -0.976 2.799
Li 2.224 -3.016 2.973
Li 4.656 -0.987 3.448
Li -2.533 -3.190 2.507
Li -5.151 -1.346 2.488
Li 1.760 2.007 4.330
Li -2.705 1.843 3.893
In -5.112 0.733 4.567
In -0.340 -3.024 4.608
In -0.535 0.680 5.212
In -0.283 1.930 2.170
In 2.352 -0.049 2.313
In 4.064 1.069 5.465
In -2.745 -0.236 1.814
In 0.000 0.000 0.000
```


No. 2
First-principles (SCAN) data for a crystal of TaAlIn2Co relaxed with PBEsol, as listed in Alexandria via LeMat-Bulk.

- symmetry = P4/mmm (123)
- DOS(E_F) (states/eV/cell) = 3.280
- E (hartree per atom) = -1.1221

Structure (extended XYZ):
```
5
Lattice="-2.884 -0.077 -3.225 -0.363 -5.393 0.453 -4.027 0.573 3.588" Properties=species:S:1:pos:R:3 pbc="T T T"
Co -1.442 -0.038 -1.612
In -2.013 0.286 1.794
In -0.182 -2.696 0.227
Al -3.637 -2.448 0.408
Ta 0.000 0.000 0.000
```


No. 3
First-principles (SCAN) data for a crystal of Dy4Ge6Ir7 relaxed with PBEsol, as listed in Alexandria via LeMat-Bulk.

- symmetry = Im-3m (229)
- DOS(E_F) (states/eV/cell) = 4.960
- E (hartree per atom) = -1.7748

Structure (extended XYZ):
```
17
Lattice="-1.775 3.348 -6.103 -4.326 -5.651 0.976 -0.714 4.543 5.518" Properties=species:S:1:pos:R:3 pbc="T T T"
Ge -3.441 -0.756 4.434
Ge -4.165 -1.573 -3.500
Ge -1.935 -0.731 -1.626
Ge -0.789 2.504 -0.185
Ge -1.699 5.388 -0.399
Ge -1.599 -0.351 2.060
Dy -2.163 -2.826 0.488
Dy -0.887 1.674 -3.052
Dy -0.357 2.272 2.759
Dy -3.407 1.120 0.196
Ir -3.142 1.419 3.101
Ir -2.769 3.370 -1.574
Ir -4.045 -1.130 1.966
Ir -4.310 -1.429 -0.940
Ir 0.000 0.000 0.000
Ir -3.672 0.821 -2.710
Ir -2.504 3.669 1.331
```


no.,total moment (μB/f.u.)
1,0.00
2,1.37
3,0.00